#i
# Cu3Mo2O9, PBEsol geometry, DFT meta-GGA SCAN
data_Cu3Mo2O9
_cell_length_a 7.540
_cell_length_b 6.828
_cell_length_c 14.475
_cell_angle_alpha 90.00
_cell_angle_beta 90.00
_cell_angle_gamma 90.00
_symmetry_space_group_name_H-M 'P n m a'
_symmetry_Int_Tables_number 62
loop_
_symmetry_equiv_pos_as_xyz
'x,y,z'
'-x,-y,-z'
'-x+1/2,-y,z+1/2'
'x+1/2,y,-z+1/2'
'x+1/2,-y+1/2,-z+1/2'
'-x+1/2,y+1/2,z+1/2'
'-x,y+1/2,-z'
'x,-y+1/2,z'
loop_
_atom_site_label
_atom_site_fract_x
_atom_site_fract_y
_atom_site_fract_z
_atom_site_occupancy
Cu1 0.000 0.000 0.000 1
Cu2 0.172 0.250 0.148 1
Cu3 0.207 0.750 0.436 1
Mo1 0.170 0.250 0.392 1
Mo2 0.231 0.250 0.675 1
O1 0.027 0.250 0.614 1
O2 0.057 0.750 0.595 1
O3 0.087 0.250 0.022 1
O4 0.146 0.534 0.144 1
O5 0.188 0.250 0.792 1
O6 0.227 0.250 0.275 1
O7 0.236 0.534 0.945 1
# * Fermi-level density of states: 0.30 states/eV/cell



#ii
## Cu3Mo2O9 (meta-GGA SCAN)

Data for a crystal of Cu3Mo2O9 relaxed with PBEsol.

Geometry as CIF:
```
data_Cu3Mo2O9
_cell_length_a 7.216
_cell_length_b 7.748
_cell_length_c 8.037
_cell_angle_alpha 66.25
_cell_angle_beta 89.72
_cell_angle_gamma 66.40
_symmetry_space_group_name_H-M 'P -1'
_symmetry_Int_Tables_number 2
loop_
_symmetry_equiv_pos_as_xyz
'x,y,z'
'-x,-y,-z'
loop_
_atom_site_label
_atom_site_fract_x
_atom_site_fract_y
_atom_site_fract_z
_atom_site_occupancy
Cu1 0.062 0.160 0.472 1
Cu2 0.134 0.783 0.911 1
Cu3 0.292 0.906 0.272 1
Mo1 0.200 0.287 0.812 1
Mo2 0.439 0.327 0.293 1
O1 0.024 0.021 0.333 1
O2 0.086 0.292 0.618 1
O3 0.120 0.544 0.781 1
O4 0.136 0.130 0.028 1
O5 0.254 0.592 0.164 1
O6 0.309 0.166 0.364 1
O7 0.390 0.761 0.844 1
O8 0.421 0.696 0.514 1
O9 0.466 0.177 0.825 1
```



Here is how they stack up, most stable first: #ii, #i.



#i
# CuReMo, PBEsol geometry, DFT meta-GGA SCAN
data_CuReMo
_cell_length_a 5.694
_cell_length_b 5.694
_cell_length_c 5.694
_cell_angle_alpha 90.00
_cell_angle_beta 90.00
_cell_angle_gamma 90.00
_symmetry_space_group_name_H-M 'F -4 3 m'
_symmetry_Int_Tables_number 216
_symmetry_space_group_name_Hall 'F -4 2 3'
loop_
_atom_site_label
_atom_site_fract_x
_atom_site_fract_y
_atom_site_fract_z
_atom_site_occupancy
Cu1 0.000 0.000 0.000 1
Re1 0.250 0.250 0.250 1
Mo1 0.250 0.250 0.750 1
# * Fermi-level density of states: 8.25 states/eV/cell



#ii
# CuReMo, PBEsol geometry, DFT meta-GGA SCAN
data_CuReMo
_cell_length_a 2.6914
_cell_length_b 2.6914
_cell_length_c 6.7447
_cell_angle_alpha 90.00
_cell_angle_beta 90.00
_cell_angle_gamma 120.00
_symmetry_space_group_name_H-M 'P 3 m 1'
_symmetry_Int_Tables_number 156
loop_
_symmetry_equiv_pos_as_xyz
'x,y,z'
'-y,x-y,z'
'-x+y,-x,z'
'-y,-x,z'
'-x+y,y,z'
'x,x-y,z'
loop_
_atom_site_label
_atom_site_fract_x
_atom_site_fract_y
_atom_site_fract_z
_atom_site_occupancy
Cu1 0.0000 0.0000 0.0000 1
Re1 0.3333 0.6667 0.3251 1
Mo1 0.6667 0.3333 0.6674 1
# * Fermi-level density of states: 2.34 states/eV/cell



Here is how they stack up, most stable first: #ii, #i.



#i
# CuReMo2, PBEsol geometry, DFT meta-GGA SCAN
data_CuReMo2
_cell_length_a 3.268
_cell_length_b 4.163
_cell_length_c 8.408
_cell_angle_alpha 90.00
_cell_angle_beta 90.00
_cell_angle_gamma 90.00
_symmetry_space_group_name_H-M 'I m m m'
_symmetry_Int_Tables_number 71
_symmetry_space_group_name_Hall '-I 2 2'
loop_
_atom_site_label
_atom_site_fract_x
_atom_site_fract_y
_atom_site_fract_z
_atom_site_occupancy
Cu1 0.000 0.000 0.000 1
Re1 0.000 0.000 0.500 1
Mo1 0.000 0.500 0.240 1
# * Fermi-level density of states: 4.67 states/eV/cell



#ii
# CuReMo2, PBEsol geometry, DFT meta-GGA SCAN
data_CuReMo2
_cell_length_a 2.7161
_cell_length_b 2.7161
_cell_length_c 27.2012
_cell_angle_alpha 90.00
_cell_angle_beta 90.00
_cell_angle_gamma 120.00
_symmetry_space_group_name_H-M 'R 3 m'
_symmetry_Int_Tables_number 160
_symmetry_space_group_name_Hall 'R 3 -2"'
loop_
_atom_site_label
_atom_site_fract_x
_atom_site_fract_y
_atom_site_fract_z
_atom_site_occupancy
Cu1 0.0000 0.0000 0.0000 1
Re1 0.0000 0.0000 0.7471 1
Mo1 0.0000 0.0000 0.2515 1
Mo2 0.0000 0.0000 0.4967 1
# * Fermi-level density of states: 11.94 states/eV/cell



Here is how they stack up, most stable first: #i, #ii.



#i
# CuMoRh, PBEsol geometry, DFT meta-GGA SCAN
data_CuMoRh
_cell_length_a 2.709
_cell_length_b 3.751
_cell_length_c 7.885
_cell_angle_alpha 90.00
_cell_angle_beta 90.00
_cell_angle_gamma 90.00
_symmetry_space_group_name_H-M 'I m m 2'
_symmetry_Int_Tables_number 44
loop_
_symmetry_equiv_pos_as_xyz
'x,y,z'
'-x,-y,z'
'-x,y,z'
'x,-y,z'
'x+1/2,y+1/2,z+1/2'
'-x+1/2,-y+1/2,z+1/2'
'-x+1/2,y+1/2,z+1/2'
'x+1/2,-y+1/2,z+1/2'
loop_
_atom_site_label
_atom_site_fract_x
_atom_site_fract_y
_atom_site_fract_z
_atom_site_occupancy
Cu1 0.000 0.000 0.000 1
Mo1 0.000 0.000 0.666 1
Rh1 0.000 0.000 0.335 1
# * Fermi-level density of states: 3.38 states/eV/cell



#ii
# CuMoRh, PBEsol geometry, DFT meta-GGA SCAN
data_CuMoRh
_cell_length_a 4.2039
_cell_length_b 4.2039
_cell_length_c 2.6274
_cell_angle_alpha 90.00
_cell_angle_beta 90.00
_cell_angle_gamma 120.00
_symmetry_space_group_name_H-M 'P -6 m 2'
_symmetry_Int_Tables_number 187
_symmetry_space_group_name_Hall 'P -6 2'
loop_
_atom_site_label
_atom_site_fract_x
_atom_site_fract_y
_atom_site_fract_z
_atom_site_occupancy
Cu1 0.0000 0.0000 0.0000 1
Mo1 0.3333 0.6667 0.5000 1
Rh1 0.6667 0.3333 0.0000 1
# * Fermi-level density of states: 2.21 states/eV/cell



Here is how they stack up, most stable first: #i, #ii.



#i
# CuMoRu2, PBEsol geometry, DFT meta-GGA SCAN
data_CuMoRu2
_cell_length_a 5.994
_cell_length_b 5.994
_cell_length_c 5.994
_cell_angle_alpha 90.00
_cell_angle_beta 90.00
_cell_angle_gamma 90.00
_symmetry_space_group_name_H-M 'F m -3 m'
_symmetry_Int_Tables_number 225
_symmetry_space_group_name_Hall '-F 4 2 3'
loop_
_atom_site_label
_atom_site_fract_x
_atom_site_fract_y
_atom_site_fract_z
_atom_site_occupancy
Cu1 0.000 0.000 0.000 1
Mo1 0.000 0.000 0.500 1
Ru1 0.250 0.250 0.250 1
# * Fermi-level density of states: 21.13 states/eV/cell



#ii
# CuMoRu2, PBEsol geometry, DFT meta-GGA SCAN
data_CuMoRu2
_cell_length_a 3.093
_cell_length_b 3.093
_cell_length_c 5.623
_cell_angle_alpha 90.00
_cell_angle_beta 90.00
_cell_angle_gamma 90.00
_symmetry_space_group_name_H-M 'P 4/m m m'
_symmetry_Int_Tables_number 123
_symmetry_space_group_name_Hall '-P 4 2'
loop_
_atom_site_label
_atom_site_fract_x
_atom_site_fract_y
_atom_site_fract_z
_atom_site_occupancy
Cu1 0.000 0.000 0.000 1
Mo1 0.000 0.000 0.500 1
Ru1 0.500 0.500 0.240 1
# * Fermi-level density of states: 2.22 states/eV/cell



Here is how they stack up, most stable first: #i, #ii.



#i
# ScCu2Mo, PBEsol geometry, DFT meta-GGA SCAN
data_ScCu2Mo
_cell_length_a 2.739
_cell_length_b 2.739
_cell_length_c 7.713
_cell_angle_alpha 90.00
_cell_angle_beta 90.00
_cell_angle_gamma 90.00
_symmetry_space_group_name_H-M 'P 4 m m'
_symmetry_Int_Tables_number 99
loop_
_symmetry_equiv_pos_as_xyz
'x,y,z'
'-y,x,z'
'-x,-y,z'
'y,-x,z'
'-x,y,z'
'y,x,z'
'x,-y,z'
'-y,-x,z'
loop_
_atom_site_label
_atom_site_fract_x
_atom_site_fract_y
_atom_site_fract_z
_atom_site_occupancy
Sc1 0.000 0.000 0.000 1
Cu1 0.000 0.000 0.533 1
Cu2 0.500 0.500 0.736 1
Mo1 0.500 0.500 0.295 1
# * Fermi-level density of states: 3.25 states/eV/cell



#ii
# ScCu2Mo, PBEsol geometry, DFT meta-GGA SCAN
data_ScCu2Mo
_cell_length_a 9.904
_cell_length_b 2.716
_cell_length_c 4.715
_cell_angle_alpha 90.00
_cell_angle_beta 114.33
_cell_angle_gamma 90.00
_symmetry_space_group_name_H-M 'C 1 m 1'
_symmetry_Int_Tables_number 8
loop_
_symmetry_equiv_pos_as_xyz
'x,y,z'
'x,-y,z'
'x+1/2,y+1/2,z'
'x+1/2,-y+1/2,z'
loop_
_atom_site_label
_atom_site_fract_x
_atom_site_fract_y
_atom_site_fract_z
_atom_site_occupancy
Sc1 0.000 0.000 0.000 1
Cu1 0.024 0.500 0.506 1
Cu2 0.240 0.000 0.853 1
Mo1 0.272 0.500 0.379 1
# * Fermi-level density of states: 6.59 states/eV/cell



Here is how they stack up, most stable first: #i, #ii.



#i
# Sc2CuMo, PBEsol geometry, DFT meta-GGA SCAN
data_Sc2CuMo
_cell_length_a 3.0257
_cell_length_b 3.0257
_cell_length_c 26.5257
_cell_angle_alpha 90.00
_cell_angle_beta 90.00
_cell_angle_gamma 120.00
_symmetry_space_group_name_H-M 'R -3 m'
_symmetry_Int_Tables_number 166
_symmetry_space_group_name_Hall '-R 3 2"'
loop_
_atom_site_label
_atom_site_fract_x
_atom_site_fract_y
_atom_site_fract_z
_atom_site_occupancy
Sc1 0.0000 0.0000 0.2481 1
Cu1 0.0000 0.0000 0.5000 1
Mo1 0.0000 0.0000 0.0000 1
# * Fermi-level density of states: 14.24 states/eV/cell



#ii
# Sc2CuMo, PBEsol geometry, DFT meta-GGA SCAN
data_Sc2CuMo
_cell_length_a 6.463
_cell_length_b 6.463
_cell_length_c 6.463
_cell_angle_alpha 90.00
_cell_angle_beta 90.00
_cell_angle_gamma 90.00
_symmetry_space_group_name_H-M 'F m -3 m'
_symmetry_Int_Tables_number 225
_symmetry_space_group_name_Hall '-F 4 2 3'
loop_
_atom_site_label
_atom_site_fract_x
_atom_site_fract_y
_atom_site_fract_z
_atom_site_occupancy
Sc1 0.250 0.250 0.250 1
Cu1 0.000 0.000 0.000 1
Mo1 0.000 0.000 0.500 1
# * Fermi-level density of states: 11.30 states/eV/cell



Here is how they stack up, most stable first: #ii, #i.